Record 1
! ErGa2Ni2Ge (PBE, relaxed); values from VASP
&SYSTEM
  ibrav = 0, nat = 6, ntyp = 4
/
ATOMIC_SPECIES
Er 167.26 Er.upf
Ga 69.72 Ga.upf
Ni 58.69 Ni.upf
Ge 72.64 Ge.upf
ATOMIC_POSITIONS crystal
Er 0.000 0.000 0.000
Ga 0.500 0.500 0.236
Ga 0.500 0.500 0.764
Ni 0.000 0.500 0.500
Ni 0.500 0.000 0.500
Ge 0.000 0.000 0.500
CELL_PARAMETERS angstrom
4.378 0.000 0.000
0.000 4.378 0.000
0.000 0.000 5.455
! * size of the total moment: 0.00 μB per formula unit
! * Fermi-level density of states: 0.52 states/eV/atom
! * formation energy from the elements: -0.277 eV per atom
! * V: 104.6 Å³/f.u.
! * crystal system: tetragonal

***

Record 2
! CsZnB2Ru (PBE, relaxed); values from VASP
&SYSTEM
  ibrav = 0, nat = 5, ntyp = 4
/
ATOMIC_SPECIES
Cs 132.91 Cs.upf
Zn 65.41 Zn.upf
B 10.81 B.upf
Ru 101.07 Ru.upf
ATOMIC_POSITIONS crystal
Cs 0.000 0.000 0.000
Zn 0.500 0.500 0.000
B 0.000 0.500 0.500
B 0.500 0.000 0.500
Ru 0.000 0.000 0.500
CELL_PARAMETERS angstrom
4.261 0.000 0.000
0.000 4.261 0.000
0.000 0.000 5.872
! * size of the total moment: 0.00 μB per formula unit
! * Fermi-level density of states: 0.60 states/eV/atom
! * formation energy from the elements: 1.168 eV per atom
! * V: 106.6 Å³/f.u.
! * crystal system: tetragonal

***

Record 3
! MgBe2Pd8 (PBE, relaxed); values from VASP
&SYSTEM
  ibrav = 0, nat = 11, ntyp = 3
/
ATOMIC_SPECIES
Mg 24.30 Mg.upf
Be 9.01 Be.upf
Pd 106.42 Pd.upf
ATOMIC_POSITIONS crystal
Mg 0.000 0.000 0.000
Be 0.314 0.686 0.500
Be 0.686 0.314 0.500
Pd 0.074 0.330 0.593
Pd 0.248 0.752 0.000
Pd 0.330 0.074 0.593
Pd 0.389 0.389 0.194
Pd 0.611 0.611 0.806
Pd 0.670 0.926 0.407
Pd 0.752 0.248 0.000
Pd 0.926 0.670 0.407
CELL_PARAMETERS angstrom
3.562 -5.255 0.000
3.562 5.255 0.000
-1.250 0.000 4.259
! * size of the total moment: 0.00 μB per formula unit
! * Fermi-level density of states: 0.55 states/eV/atom
! * formation energy from the elements: -0.359 eV per atom
! * V: 159.4 Å³/f.u.
! * crystal system: monoclinic

***

Record 4
! LiYScCr (PBE, relaxed); values from VASP
&SYSTEM
  ibrav = 0, nat = 4, ntyp = 4
/
ATOMIC_SPECIES
Li 6.94 Li.upf
Y 88.91 Y.upf
Sc 44.96 Sc.upf
Cr 52.00 Cr.upf
ATOMIC_POSITIONS crystal
Li 0.000 0.000 0.000
Y 0.250 0.250 0.250
Sc 0.750 0.750 0.750
Cr 0.500 0.500 0.500
CELL_PARAMETERS angstrom
0.000 3.496 3.496
3.496 0.000 3.496
3.496 3.496 0.000
! * size of the total moment: 3.16 μB per formula unit
! * Fermi-level density of states: 0.86 states/eV/atom
! * formation energy from the elements: 0.190 eV per atom
! * V: 85.4 Å³/f.u.
! * crystal system: cubic

***

Record 5
! SrLiMg3 (PBE, relaxed); values from VASP
&SYSTEM
  ibrav = 0, nat = 5, ntyp = 3
/
ATOMIC_SPECIES
Sr 87.62 Sr.upf
Li 6.94 Li.upf
Mg 24.30 Mg.upf
ATOMIC_POSITIONS crystal
Sr 0.000 0.000 0.000
Li 0.500 0.500 0.500
Mg 0.000 0.000 0.500
Mg 0.000 0.500 0.000
Mg 0.500 0.000 0.000
CELL_PARAMETERS angstrom
6.394 0.000 0.000
0.000 6.394 0.000
0.000 0.000 6.394
! * size of the total moment: 0.00 μB per formula unit
! * Fermi-level density of states: 0.87 states/eV/atom
! * formation energy from the elements: 0.871 eV per atom
! * V: 261.4 Å³/f.u.
! * crystal system: cubic

***

Record 6
! LaTb2Pt (PBE, relaxed); values from VASP
&SYSTEM
  ibrav = 0, nat = 16, ntyp = 3
/
ATOMIC_SPECIES
La 138.91 La.upf
Tb 158.93 Tb.upf
Pt 195.08 Pt.upf
ATOMIC_POSITIONS crystal
La 0.025 0.250 0.137
La 0.475 0.750 0.637
La 0.525 0.250 0.363
La 0.975 0.750 0.863
Tb 0.176 0.063 0.671
Tb 0.176 0.437 0.671
Tb 0.324 0.563 0.171
Tb 0.324 0.937 0.171
Tb 0.676 0.063 0.829
Tb 0.676 0.437 0.829
Tb 0.824 0.563 0.329
Tb 0.824 0.937 0.329
Pt 0.118 0.750 0.428
Pt 0.382 0.250 0.928
Pt 0.618 0.750 0.072
Pt 0.882 0.250 0.572
CELL_PARAMETERS angstrom
7.198 0.000 0.000
0.000 9.780 0.000
0.000 0.000 6.643
! * size of the total moment: 0.00 μB per formula unit
! * Fermi-level density of states: 1.04 states/eV/atom
! * formation energy from the elements: -0.682 eV per atom
! * V: 116.9 Å³/f.u.
! * crystal system: orthorhombic

***

Record 7
! LaGdDyIn (PBE, relaxed); values from VASP
&SYSTEM
  ibrav = 0, nat = 4, ntyp = 4
/
ATOMIC_SPECIES
La 138.91 La.upf
Gd 157.25 Gd.upf
Dy 162.50 Dy.upf
In 114.82 In.upf
ATOMIC_POSITIONS crystal
La 0.000 0.000 0.000
Gd 0.500 0.500 0.500
Dy 0.250 0.250 0.250
In 0.750 0.750 0.750
CELL_PARAMETERS angstrom
0.000 3.931 3.931
3.931 0.000 3.931
3.931 3.931 0.000
! * size of the total moment: 8.37 μB per formula unit
! * Fermi-level density of states: 1.22 states/eV/atom
! * formation energy from the elements: -0.174 eV per atom
! * V: 121.5 Å³/f.u.
! * crystal system: cubic

***

Record 8
! BaFeGe3 (PBE, relaxed); values from VASP
&SYSTEM
  ibrav = 0, nat = 5, ntyp = 3
/
ATOMIC_SPECIES
Ba 137.33 Ba.upf
Fe 55.84 Fe.upf
Ge 72.64 Ge.upf
ATOMIC_POSITIONS crystal
Ba 0.000 0.000 0.000
Fe 0.500 0.500 0.500
Ge 0.000 0.000 0.500
Ge 0.000 0.500 0.000
Ge 0.500 0.000 0.000
CELL_PARAMETERS angstrom
5.514 0.000 0.000
0.000 5.514 0.000
0.000 0.000 5.514
! * size of the total moment: 0.12 μB per formula unit
! * Fermi-level density of states: 3.46 states/eV/atom
! * formation energy from the elements: 2.266 eV per atom
! * V: 167.7 Å³/f.u.
! * crystal system: cubic

***

Record 9
! Pr2HgIr (PBE, relaxed); values from VASP
&SYSTEM
  ibrav = 0, nat = 4, ntyp = 3
/
ATOMIC_SPECIES
Pr 140.91 Pr.upf
Hg 200.59 Hg.upf
Ir 192.22 Ir.upf
ATOMIC_POSITIONS crystal
Pr 0.000 0.000 0.219
Pr 0.000 0.000 0.781
Hg 0.500 0.500 0.500
Ir 0.500 0.500 0.000
CELL_PARAMETERS angstrom
3.651 0.000 0.000
0.000 3.651 0.000
0.000 0.000 7.771
! * size of the total moment: 0.00 μB per formula unit
! * Fermi-level density of states: 0.49 states/eV/atom
! * formation energy from the elements: -0.521 eV per atom
! * V: 103.6 Å³/f.u.
! * crystal system: tetragonal

***

Record 10
! K4Pu3NpTe8 (PBE, relaxed); values from VASP
&SYSTEM
  ibrav = 0, nat = 16, ntyp = 4
/
ATOMIC_SPECIES
K 39.10 K.upf
Pu 244.00 Pu.upf
Np 237.00 Np.upf
Te 127.60 Te.upf
ATOMIC_POSITIONS crystal
K 0.000 0.000 0.000
K 0.000 0.500 0.500
K 0.500 0.000 0.500
K 0.500 0.500 0.000
Pu 0.000 0.000 0.500
Pu 0.000 0.500 0.000
Pu 0.500 0.000 0.000
Np 0.500 0.500 0.500
Te 0.236 0.236 0.236
Te 0.239 0.735 0.735
Te 0.265 0.265 0.761
Te 0.265 0.761 0.265
Te 0.735 0.239 0.735
Te 0.735 0.735 0.239
Te 0.761 0.265 0.265
Te 0.764 0.764 0.764
CELL_PARAMETERS angstrom
4.567 2.637 8.174
-4.567 2.637 8.174
0.000 -5.274 8.174
! * ΔE_f (raw): -1.07 eV per atom
! * size of the total moment: 19.00 μB per formula unit
! * Fermi-level density of states: 3.11 states/eV/atom
! * V: 590.7 Å³/f.u.
! * crystal system: trigonal

***

Record 11
! Al2CdIrO8 (PBE, relaxed); values from VASP
&SYSTEM
  ibrav = 0, nat = 12, ntyp = 4
/
ATOMIC_SPECIES
Al 26.98 Al.upf
Cd 112.41 Cd.upf
Ir 192.22 Ir.upf
O 16.00 O.upf
ATOMIC_POSITIONS crystal
Al 0.000 0.249 0.000
Al 0.000 0.751 0.000
Cd 0.500 0.000 0.500
Ir 0.500 0.500 0.500
O 0.172 0.000 0.171
O 0.197 0.500 0.195
O 0.290 0.286 0.709
O 0.290 0.714 0.709
O 0.710 0.286 0.291
O 0.710 0.714 0.291
O 0.803 0.500 0.805
O 0.828 0.000 0.829
CELL_PARAMETERS angstrom
4.554 0.000 0.000
0.000 6.244 0.000
-0.065 0.000 4.559
! * ΔE_f (raw): -1.46 eV per atom
! * size of the total moment: 0.00 μB per formula unit
! * Fermi-level density of states: 0.51 states/eV/atom
! * V: 129.7 Å³/f.u.
! * crystal system: monoclinic

***

Record 12
! AcPm2Sm3Y6 (PBE, relaxed); values from VASP
&SYSTEM
  ibrav = 0, nat = 12, ntyp = 4
/
ATOMIC_SPECIES
Ac 227.00 Ac.upf
Pm 145.00 Pm.upf
Sm 150.36 Sm.upf
Y 88.91 Y.upf
ATOMIC_POSITIONS crystal
Ac 0.000 0.000 0.000
Pm 0.333 0.667 0.000
Pm 0.667 0.333 0.000
Sm 0.167 0.833 0.500
Sm 0.500 0.500 0.500
Sm 0.833 0.167 0.500
Y 0.085 0.421 0.253
Y 0.251 0.251 0.747
Y 0.421 0.085 0.253
Y 0.579 0.915 0.747
Y 0.749 0.749 0.253
Y 0.915 0.579 0.747
CELL_PARAMETERS angstrom
3.155 -5.461 0.000
3.155 5.461 0.000
-2.091 0.000 11.754
! * size of the total moment: 0.00 μB per formula unit
! * Fermi-level density of states: 1.21 states/eV/atom
! * formation energy from the elements: 0.020 eV per atom
! * V: 405.0 Å³/f.u.
! * crystal system: monoclinic

***

Record 13
! Sm6Cd2C (PBE, relaxed); values from VASP
&SYSTEM
  ibrav = 0, nat = 18, ntyp = 3
/
ATOMIC_SPECIES
Sm 150.36 Sm.upf
Cd 112.41 Cd.upf
C 12.01 C.upf
ATOMIC_POSITIONS crystal
Sm 0.184 0.000 0.257
Sm 0.184 0.500 0.757
Sm 0.292 0.244 0.537
Sm 0.292 0.256 0.037
Sm 0.294 0.746 0.037
Sm 0.294 0.754 0.537
Sm 0.706 0.246 0.463
Sm 0.706 0.254 0.963
Sm 0.708 0.744 0.963
Sm 0.708 0.756 0.463
Sm 0.816 0.000 0.743
Sm 0.816 0.500 0.243
Cd 0.257 0.501 0.252
Cd 0.257 0.999 0.752
Cd 0.743 0.001 0.248
Cd 0.743 0.499 0.748
C 0.500 0.000 0.500
C 0.500 0.500 0.000
CELL_PARAMETERS angstrom
7.170 0.000 0.000
0.000 7.138 0.000
-7.125 0.000 10.014
! * size of the total moment: 0.00 μB per formula unit
! * Fermi-level density of states: 0.86 states/eV/atom
! * formation energy from the elements: -0.192 eV per atom
! * V: 256.2 Å³/f.u.
! * crystal system: monoclinic

***

Record 14
! Nd2Ga3Ag (PBE, relaxed); values from VASP
&SYSTEM
  ibrav = 0, nat = 12, ntyp = 3
/
ATOMIC_SPECIES
Nd 144.24 Nd.upf
Ga 69.72 Ga.upf
Ag 107.87 Ag.upf
ATOMIC_POSITIONS crystal
Nd 0.242 0.758 0.758
Nd 0.250 0.250 0.250
Nd 0.750 0.750 0.750
Nd 0.758 0.242 0.242
Ga 0.172 0.663 0.337
Ga 0.337 0.337 0.663
Ga 0.337 0.828 0.172
Ga 0.663 0.172 0.828
Ga 0.663 0.663 0.337
Ga 0.828 0.337 0.663
Ag 0.168 0.168 0.832
Ag 0.832 0.832 0.168
CELL_PARAMETERS angstrom
0.000 4.529 7.855
3.857 0.000 7.855
3.857 4.529 0.000
! * size of the total moment: 0.00 μB per formula unit
! * Fermi-level density of states: 0.63 states/eV/atom
! * formation energy from the elements: -0.574 eV per atom
! * V: 137.2 Å³/f.u.
! * crystal system: orthorhombic

***

Record 15
! BaSb2RhI (PBE, relaxed); values from VASP
&SYSTEM
  ibrav = 0, nat = 5, ntyp = 4
/
ATOMIC_SPECIES
Ba 137.33 Ba.upf
Sb 121.76 Sb.upf
Rh 102.91 Rh.upf
I 126.90 I.upf
ATOMIC_POSITIONS crystal
Ba 0.000 0.000 0.000
Sb 0.000 0.500 0.500
Sb 0.500 0.000 0.500
Rh 0.500 0.500 0.500
I 0.500 0.500 0.000
CELL_PARAMETERS angstrom
5.192 0.000 0.000
0.000 5.192 0.000
0.000 0.000 5.946
! * ΔE_f (raw): -0.42 eV per atom
! * size of the total moment: 0.00 μB per formula unit
! * Fermi-level density of states: 1.08 states/eV/atom
! * V: 160.3 Å³/f.u.
! * crystal system: tetragonal

***

Record 16
! Be2CdCu2 (PBE, relaxed); values from VASP
&SYSTEM
  ibrav = 0, nat = 10, ntyp = 3
/
ATOMIC_SPECIES
Be 9.01 Be.upf
Cd 112.41 Cd.upf
Cu 63.55 Cu.upf
ATOMIC_POSITIONS crystal
Be 0.156 0.344 0.000
Be 0.344 0.844 0.000
Be 0.656 0.156 0.000
Be 0.844 0.656 0.000
Cd 0.000 0.000 0.500
Cd 0.500 0.500 0.500
Cu 0.132 0.632 0.500
Cu 0.368 0.132 0.500
Cu 0.632 0.868 0.500
Cu 0.868 0.368 0.500
CELL_PARAMETERS angstrom
6.702 0.000 0.000
0.000 6.702 0.000
0.000 0.000 2.737
! * size of the total moment: 0.00 μB per formula unit
! * Fermi-level density of states: 0.12 states/eV/atom
! * formation energy from the elements: 0.117 eV per atom
! * V: 61.5 Å³/f.u.
! * crystal system: tetragonal

***

Record 17
! FeSeBr2Cl (PBE, relaxed); values from VASP
&SYSTEM
  ibrav = 0, nat = 5, ntyp = 4
/
ATOMIC_SPECIES
Fe 55.84 Fe.upf
Se 78.96 Se.upf
Br 79.90 Br.upf
Cl 35.45 Cl.upf
ATOMIC_POSITIONS crystal
Fe 0.000 0.000 0.000
Se 0.000 0.000 0.500
Br 0.000 0.500 0.000
Br 0.500 0.000 0.000
Cl 0.500 0.500 0.500
CELL_PARAMETERS angstrom
4.991 0.000 0.000
0.000 4.991 0.000
0.000 0.000 4.505
! * ΔE_f (raw): 0.29 eV per atom
! * size of the total moment: 0.00 μB per formula unit
! * Fermi-level density of states: 1.56 states/eV/atom
! * V: 112.2 Å³/f.u.
! * crystal system: tetragonal

***

Record 18
! Ca2TcSe (PBE, relaxed); values from VASP
&SYSTEM
  ibrav = 0, nat = 4, ntyp = 3
/
ATOMIC_SPECIES
Ca 40.08 Ca.upf
Tc 98.00 Tc.upf
Se 78.96 Se.upf
ATOMIC_POSITIONS crystal
Ca 0.000 0.000 0.000
Ca 0.705 0.205 0.500
Tc 0.431 0.431 0.000
Se 0.268 0.768 0.500
CELL_PARAMETERS angstrom
-1.711 2.459 5.581
1.711 -2.459 5.581
1.711 2.459 -5.581
! * ΔE_f (raw): -0.24 eV per atom
! * size of the total moment: 1.04 μB per formula unit
! * Fermi-level density of states: 0.47 states/eV/atom
! * V: 93.9 Å³/f.u.
! * crystal system: orthorhombic

***

Record 19
! K2BaSc (PBE, relaxed); values from VASP
&SYSTEM
  ibrav = 0, nat = 4, ntyp = 3
/
ATOMIC_SPECIES
K 39.10 K.upf
Ba 137.33 Ba.upf
Sc 44.96 Sc.upf
ATOMIC_POSITIONS crystal
K 0.000 0.000 0.000
K 0.500 0.500 0.299
Ba 0.000 0.000 0.588
Sc 0.500 0.500 0.776
CELL_PARAMETERS angstrom
2.840 -2.845 0.000
2.840 2.845 0.000
0.000 0.000 13.037
! * size of the total moment: 1.93 μB per formula unit
! * Fermi-level density of states: 1.21 states/eV/atom
! * formation energy from the elements: 0.361 eV per atom
! * V: 210.7 Å³/f.u.
! * crystal system: orthorhombic

***

Record 20
! LaTbHo2Hg4 (PBE, relaxed); values from VASP
&SYSTEM
  ibrav = 0, nat = 8, ntyp = 4
/
ATOMIC_SPECIES
La 138.91 La.upf
Tb 158.93 Tb.upf
Ho 164.93 Ho.upf
Hg 200.59 Hg.upf
ATOMIC_POSITIONS crystal
La 0.000 0.000 0.000
Tb 0.500 0.500 0.500
Ho 0.249 0.249 0.249
Ho 0.751 0.751 0.751
Hg 0.127 0.127 0.127
Hg 0.379 0.379 0.379
Hg 0.621 0.621 0.621
Hg 0.873 0.873 0.873
CELL_PARAMETERS angstrom
2.656 1.534 8.771
-2.656 1.534 8.771
0.000 -3.067 8.771
! * size of the total moment: 0.73 μB per formula unit
! * Fermi-level density of states: 1.06 states/eV/atom
! * formation energy from the elements: -0.471 eV per atom
! * V: 214.4 Å³/f.u.
! * crystal system: trigonal